Entry 1:
Entry from the Alexandria database: a relaxed SrNb4O6 crystal (PBEsol).

Cell lengths 4.1828, 4.1828, 8.0847 Å; angles 90.00, 90.00, 90.00 degrees
Space group P4/mmm (No. 123)
Inequivalent atoms, fractional coordinates:
1 Sr 0.0000 0.0000 0.0000 [1 per cell]
2 Nb 0.0000 0.5000 0.5000 [2 per cell]
3 Nb 0.5000 0.5000 0.2512 [2 per cell]
4 O 0.0000 0.0000 0.5000 [1 per cell]
5 O 0.0000 0.5000 0.2366 [4 per cell]
6 O 0.5000 0.5000 0.0000 [1 per cell]

Density of states at the Fermi level in states/eV/cell: 2.602
Raw formation energy in eV/atom: -2.387

Entry 2:
Entry from the Alexandria database: a relaxed Li2CaAu2 crystal (PBEsol).

Cell lengths 3.9514, 3.9514, 12.6222 Å; angles 90.00, 90.00, 90.00 degrees
Space group I4/mmm (No. 139)
Inequivalent atoms, fractional coordinates:
1 Li 0.0000 0.5000 0.2500 [4 per cell]
2 Ca 0.0000 0.0000 0.0000 [2 per cell]
3 Au 0.0000 0.0000 0.3915 [4 per cell]

Density of states at the Fermi level in states/eV/cell: 4.028
Distance to the lowest polymorph of the same formula in eV per atom: 0.0000
Formation enthalpy at 0 K in eV/atom: -0.5417

Entry 3:
Entry from the Alexandria database: a relaxed Pr5B2C5 crystal (PBEsol).

Cell lengths 8.5623, 8.5623, 10.9816 Å; angles 90.00, 90.00, 90.00 degrees
Space group P4/ncc (No. 130, origin choice 2)
Inequivalent atoms, fractional coordinates:
1 Pr 0.0381 0.6556 0.1027 [16 per cell]
2 Pr 0.2500 0.2500 0.1438 [4 per cell]
3 B 0.0942 0.5942 0.7500 [8 per cell]
4 C 0.0506 0.6473 0.8723 [16 per cell]
5 C 0.2500 0.2500 0.4041 [4 per cell]

Density of states at the Fermi level in states/eV/cell: 15.243
Formation enthalpy at 0 K in eV/atom: -0.2363

Entry 4:
Entry from the Alexandria database: a relaxed ScBeFe2 crystal (PBEsol).

Cell lengths 3.2168, 4.0246, 7.6601 Å; angles 90.00, 90.00, 90.00 degrees
Space group Immm (No. 71)
Inequivalent atoms, fractional coordinates:
1 Sc 0.0000 0.0000 0.0000 [2 per cell]
2 Be 0.0000 0.0000 0.5000 [2 per cell]
3 Fe 0.0000 0.5000 0.2345 [4 per cell]

Density of states at the Fermi level in states/eV/cell: 8.446
Formation enthalpy at 0 K in eV/atom: 0.0954

Entry 5:
Entry from the Alexandria database: a relaxed HgW2Au crystal (PBEsol).

Cell lengths 2.8435, 2.8435, 28.6561 Å; angles 90.00, 90.00, 120.00 degrees
Space group R-3m (No. 166, hexagonal axes)
Inequivalent atoms, fractional coordinates:
1 Hg 0.0000 0.0000 0.0000 [3 per cell]
2 W 0.0000 0.0000 0.2478 [6 per cell]
3 Au 0.0000 0.0000 0.5000 [3 per cell]

Density of states at the Fermi level in states/eV/cell: 8.531
Formation enthalpy at 0 K in eV/atom: 0.5886

Entry 6:
Entry from the Alexandria database: a relaxed AsPd3Pb2 crystal (PBEsol).

Cell lengths 11.9097, 6.8195, 5.7604 Å; angles 90.00, 90.00, 90.00 degrees
Space group Cmc2_1 (No. 36)
Inequivalent atoms, fractional coordinates:
1 As 0.0000 0.2078 0.0000 [4 per cell]
2 Pd 0.0000 0.4455 0.6780 [4 per cell]
3 Pd 0.1201 0.0462 0.7000 [8 per cell]
4 Pb 0.1796 0.3372 0.3909 [8 per cell]

Density of states at the Fermi level in states/eV/cell: 7.482
Formation enthalpy at 0 K in eV/atom: -0.3413